A plane-wave DFT calculation with PBE was carried out for a relaxed YTcAsSe2 crystal.

It has space group P4/mmm (No. 123), with a = 5.077 Å, b = 5.077 Å, c = 4.607 Å, α = 90.00°, β = 90.00° and γ = 90.00°. The inequivalent atoms are Y at (0.000, 0.000, 0.000), Tc at (0.500, 0.500, 0.500), As at (0.500, 0.500, 0.000) and Se at (0.000, 0.500, 0.500).

The crystal system is tetragonal. The total magnetic moment is 0.842 μB per formula unit. As for the volume: 23.75 A^3/atom. The calculation puts the energy above the most stable polymorph in this dataset at 0.00 eV per formula unit.